Record 1
Here is ScCr2Ir after structural relaxation from the Alexandria database. Energies are from PBE-GGA.

```
data_ScCr2Ir
_space_group_name_H-M_alt 'P 1'
_space_group_IT_number 1
_cell_length_a 7.115
_cell_length_b 7.115
_cell_length_c 5.117
_cell_angle_alpha 90.00
_cell_angle_beta 90.00
_cell_angle_gamma 90.00
loop_
_space_group_symop_operation_xyz
'x,y,z'
loop_
_atom_site_label
_atom_site_type_symbol
_atom_site_fract_x
_atom_site_fract_y
_atom_site_fract_z
Sc1 Sc 0.000 0.000 0.000
Sc2 Sc 0.000 0.500 0.250
Sc3 Sc 0.500 0.000 0.750
Sc4 Sc 0.500 0.500 0.500
Cr1 Cr 0.210 0.250 0.625
Cr2 Cr 0.250 0.710 0.875
Cr3 Cr 0.250 0.790 0.375
Cr4 Cr 0.290 0.250 0.125
Cr5 Cr 0.710 0.750 0.125
Cr6 Cr 0.750 0.210 0.375
Cr7 Cr 0.750 0.290 0.875
Cr8 Cr 0.790 0.750 0.625
Ir1 Ir 0.000 0.000 0.500
Ir2 Ir 0.000 0.500 0.750
Ir3 Ir 0.500 0.000 0.250
Ir4 Ir 0.500 0.500 0.000
```

Output
Formation energy from the elements   0.4271 eV/atom
Energy above the most stable polymorph in this dataset   595 meV per atom
Space-group type   I-42d
Density   8.7 g cm⁻³
Calculated total energy   -8.1827 eV/atom

---

Record 2
Here is ScCr2Ir after structural relaxation from the Alexandria database. Energies are from PBE-GGA.

```
data_ScCr2Ir
_space_group_name_H-M_alt 'P 1'
_space_group_IT_number 1
_cell_length_a 2.739
_cell_length_b 4.340
_cell_length_c 4.944
_cell_angle_alpha 90.00
_cell_angle_beta 102.50
_cell_angle_gamma 90.00
loop_
_space_group_symop_operation_xyz
'x,y,z'
loop_
_atom_site_label
_atom_site_type_symbol
_atom_site_fract_x
_atom_site_fract_y
_atom_site_fract_z
Sc1 Sc 0.000 0.000 0.000
Cr1 Cr 0.270 0.500 0.759
Cr2 Cr 0.730 0.500 0.241
Ir1 Ir 0.500 0.000 0.500
```

Output
Formation energy from the elements   0.0496 eV/atom
Energy above the most stable polymorph in this dataset   218 meV per atom
Space-group type   P2/m
Density   9.9 g cm⁻³
Calculated total energy   -8.5602 eV/atom

---

Record 3
Here is ScCrIr3 after structural relaxation from the Alexandria database. Energies are from PBE-GGA.

```
data_ScCrIr3
_space_group_name_H-M_alt 'P 1'
_space_group_IT_number 1
_cell_length_a 4.662
_cell_length_b 4.662
_cell_length_c 4.662
_cell_angle_alpha 90.00
_cell_angle_beta 90.00
_cell_angle_gamma 90.00
loop_
_space_group_symop_operation_xyz
'x,y,z'
loop_
_atom_site_label
_atom_site_type_symbol
_atom_site_fract_x
_atom_site_fract_y
_atom_site_fract_z
Sc1 Sc 0.000 0.000 0.000
Cr1 Cr 0.500 0.500 0.500
Ir1 Ir 0.000 0.000 0.500
Ir2 Ir 0.000 0.500 0.000
Ir3 Ir 0.500 0.000 0.000
```

Output
Formation energy from the elements   1.4984 eV/atom
Energy above the most stable polymorph in this dataset   981 meV per atom
Space-group type   Pm-3m
Density   11.0 g cm⁻³
Calculated total energy   -7.0091 eV/atom

---

Record 4
Here is ScCrIr2 after structural relaxation from the Alexandria database. Energies are from PBE-GGA.

```
data_ScCrIr2
_space_group_name_H-M_alt 'P 1'
_space_group_IT_number 1
_cell_length_a 3.142
_cell_length_b 3.142
_cell_length_c 6.293
_cell_angle_alpha 90.00
_cell_angle_beta 90.00
_cell_angle_gamma 90.00
loop_
_space_group_symop_operation_xyz
'x,y,z'
loop_
_atom_site_label
_atom_site_type_symbol
_atom_site_fract_x
_atom_site_fract_y
_atom_site_fract_z
Sc1 Sc 0.000 0.000 0.000
Cr1 Cr 0.500 0.500 0.295
Ir1 Ir 0.000 0.000 0.467
Ir2 Ir 0.500 0.500 0.757
```

Output
Formation energy from the elements   -0.1058 eV/atom
Energy above the most stable polymorph in this dataset   369 meV per atom
Space-group type   P4mm
Density   12.9 g cm⁻³
Calculated total energy   -8.5251 eV/atom

---

Record 5
Here is ScCr2Ir after structural relaxation from the Alexandria database. Energies are from PBE-GGA.

```
data_ScCr2Ir
_space_group_name_H-M_alt 'P 1'
_space_group_IT_number 1
_cell_length_a 2.769
_cell_length_b 2.769
_cell_length_c 26.528
_cell_angle_alpha 90.00
_cell_angle_beta 90.00
_cell_angle_gamma 120.00
loop_
_space_group_symop_operation_xyz
'x,y,z'
loop_
_atom_site_label
_atom_site_type_symbol
_atom_site_fract_x
_atom_site_fract_y
_atom_site_fract_z
Sc1 Sc 0.000 0.000 0.000
Sc2 Sc 0.333 0.667 0.667
Sc3 Sc 0.667 0.333 0.333
Cr1 Cr 0.000 0.000 0.245
Cr2 Cr 0.000 0.000 0.755
Cr3 Cr 0.333 0.667 0.422
Cr4 Cr 0.333 0.667 0.911
Cr5 Cr 0.667 0.333 0.089
Cr6 Cr 0.667 0.333 0.578
Ir1 Ir 0.000 0.000 0.500
Ir2 Ir 0.333 0.667 0.167
Ir3 Ir 0.667 0.333 0.833
```

Output
Formation energy from the elements   0.3251 eV/atom
Energy above the most stable polymorph in this dataset   493 meV per atom
Space-group type   R-3m
Density   9.6 g cm⁻³
Calculated total energy   -8.2847 eV/atom

---

Record 6
Here is ScCr2Ir after structural relaxation from the Alexandria database. Energies are from PBE-GGA.

```
data_ScCr2Ir
_space_group_name_H-M_alt 'P 1'
_space_group_IT_number 1
_cell_length_a 3.026
_cell_length_b 3.026
_cell_length_c 6.364
_cell_angle_alpha 90.00
_cell_angle_beta 90.00
_cell_angle_gamma 90.00
loop_
_space_group_symop_operation_xyz
'x,y,z'
loop_
_atom_site_label
_atom_site_type_symbol
_atom_site_fract_x
_atom_site_fract_y
_atom_site_fract_z
Sc1 Sc 0.000 0.000 0.000
Cr1 Cr 0.000 0.000 0.473
Cr2 Cr 0.500 0.500 0.289
Ir1 Ir 0.500 0.500 0.734
```

Output
Formation energy from the elements   -0.1326 eV/atom
Energy above the most stable polymorph in this dataset   35 meV per atom
Space-group type   P4mm
Density   9.7 g cm⁻³
Calculated total energy   -8.7424 eV/atom

---

Record 7
Here is ScCrIr2 after structural relaxation from the Alexandria database. Energies are from PBE-GGA.

```
data_ScCrIr2
_space_group_name_H-M_alt 'P 1'
_space_group_IT_number 1
_cell_length_a 2.844
_cell_length_b 2.844
_cell_length_c 7.414
_cell_angle_alpha 90.00
_cell_angle_beta 90.00
_cell_angle_gamma 90.00
loop_
_space_group_symop_operation_xyz
'x,y,z'
loop_
_atom_site_label
_atom_site_type_symbol
_atom_site_fract_x
_atom_site_fract_y
_atom_site_fract_z
Sc1 Sc 0.000 0.000 0.000
Cr1 Cr 0.000 0.000 0.500
Ir1 Ir 0.500 0.500 0.281
Ir2 Ir 0.500 0.500 0.719
```

Output
Formation energy from the elements   -0.4558 eV/atom
Energy above the most stable polymorph in this dataset   19 meV per atom
Space-group type   P4/mmm
Density   13.3 g cm⁻³
Calculated total energy   -8.8751 eV/atom

---

Record 8
Here is ScCrIr after structural relaxation from the Alexandria database. Energies are from PBE-GGA.

```
data_ScCrIr
_space_group_name_H-M_alt 'P 1'
_space_group_IT_number 1
_cell_length_a 6.169
_cell_length_b 6.169
_cell_length_c 6.169
_cell_angle_alpha 90.00
_cell_angle_beta 90.00
_cell_angle_gamma 90.00
loop_
_space_group_symop_operation_xyz
'x,y,z'
loop_
_atom_site_label
_atom_site_type_symbol
_atom_site_fract_x
_atom_site_fract_y
_atom_site_fract_z
Sc1 Sc 0.000 0.000 0.000
Sc2 Sc 0.000 0.500 0.500
Sc3 Sc 0.500 0.000 0.500
Sc4 Sc 0.500 0.500 0.000
Cr1 Cr 0.000 0.000 0.500
Cr2 Cr 0.000 0.500 0.000
Cr3 Cr 0.500 0.000 0.000
Cr4 Cr 0.500 0.500 0.500
Ir1 Ir 0.250 0.250 0.750
Ir2 Ir 0.250 0.750 0.250
Ir3 Ir 0.750 0.250 0.250
Ir4 Ir 0.750 0.750 0.750
```

Output
Formation energy from the elements   -0.0350 eV/atom
Energy above the most stable polymorph in this dataset   170 meV per atom
Space-group type   F-43m
Density   8.2 g cm⁻³
Calculated total energy   -8.3069 eV/atom

---

Record 9
Here is Sc6CrIr5 after structural relaxation from the Alexandria database. Energies are from PBE-GGA.

```
data_Sc6CrIr5
_space_group_name_H-M_alt 'P 1'
_space_group_IT_number 1
_cell_length_a 7.949
_cell_length_b 7.949
_cell_length_c 7.949
_cell_angle_alpha 146.51
_cell_angle_beta 131.73
_cell_angle_gamma 60.03
loop_
_space_group_symop_operation_xyz
'x,y,z'
loop_
_atom_site_label
_atom_site_type_symbol
_atom_site_fract_x
_atom_site_fract_y
_atom_site_fract_z
Sc1 Sc 0.077 0.331 0.746
Sc2 Sc 0.243 0.000 0.243
Sc3 Sc 0.415 0.669 0.746
Sc4 Sc 0.585 0.331 0.254
Sc5 Sc 0.757 0.000 0.757
Sc6 Sc 0.923 0.669 0.254
Cr1 Cr 0.500 0.500 0.000
Ir1 Ir 0.000 0.500 0.500
Ir2 Ir 0.168 0.168 0.000
Ir3 Ir 0.338 0.838 0.500
Ir4 Ir 0.662 0.162 0.500
Ir5 Ir 0.832 0.832 0.000
```

Output
Formation energy from the elements   -0.8321 eV/atom
Space-group type   Immm
Density   10.4 g cm⁻³
Calculated total energy   -8.4919 eV/atom

---

Record 10
Here is ScCrIr2 after structural relaxation from the Alexandria database. Energies are from PBE-GGA.

```
data_ScCrIr2
_space_group_name_H-M_alt 'P 1'
_space_group_IT_number 1
_cell_length_a 9.354
_cell_length_b 2.875
_cell_length_c 4.692
_cell_angle_alpha 90.00
_cell_angle_beta 100.51
_cell_angle_gamma 90.00
loop_
_space_group_symop_operation_xyz
'x,y,z'
loop_
_atom_site_label
_atom_site_type_symbol
_atom_site_fract_x
_atom_site_fract_y
_atom_site_fract_z
Sc1 Sc 0.000 0.000 0.000
Sc2 Sc 0.500 0.500 0.000
Cr1 Cr 0.230 0.000 0.674
Cr2 Cr 0.730 0.500 0.674
Ir1 Ir 0.251 0.500 0.216
Ir2 Ir 0.494 0.000 0.507
Ir3 Ir 0.751 0.000 0.216
Ir4 Ir 0.994 0.500 0.507
```

Output
Formation energy from the elements   -0.3174 eV/atom
Energy above the most stable polymorph in this dataset   158 meV per atom
Space-group type   Cm
Density   12.9 g cm⁻³
Calculated total energy   -8.7367 eV/atom